# 1
This record from the Alexandria database describes crystalline SrSbTe2N at its relaxed geometry. The functional is PBE.

Excess energy over the best structure of this formula in the dataset in meV per atom: 792
V in Å³/atom: 35.95
Calculated total energy in Ha/atom: -0.12103
E_form (uncorrected) in eV/atom: 0.789

a = 6.182 Å, b = 6.182 Å, c = 4.704 Å
α = 90.00°, β = 90.00°, γ = 90.00°
Atoms (fractional coordinates):
Sb 0.500 0.500 0.500
Sr 0.000 0.000 0.000
Te 0.500 0.000 0.000
Te 0.000 0.500 0.000
N 0.000 0.000 0.500

***

# 2
This record from the Alexandria database describes crystalline Ti2Al4Co at its relaxed geometry. The functional is PBE.

Energy of formation from the pure elements in eV/f.u.: 1.100
V in Å³/atom: 17.71
Calculated total energy in Ha/atom: -0.19302

a = 4.289 Å, b = 4.289 Å, c = 7.389 Å
α = 73.13°, β = 73.13°, γ = 90.00°
Atoms (fractional coordinates):
Ti 0.364 0.364 0.272
Ti 0.636 0.636 0.728
Al 0.500 0.000 0.000
Al 0.172 0.172 0.656
Al 0.000 0.500 0.000
Al 0.828 0.828 0.344
Co 0.000 0.000 0.000

***

> What is the V in the first record?

35.95 Å³/atom